A crystal of ScB3Cl relaxed with PBEsol. Source: Alexandria, functional meta-GGA SCAN.

Values from the calculation:
total energy = -6.7820 eV/atom
space-group type = Pm-3m, No. 221
magnetization = 2.35 μB/cell

a b c (Å): 4.6547 4.6547 4.6547
angles (deg): 90.00 90.00 90.00
Atoms (fractional coordinates):
Sc 0.0000 0.0000 0.0000
B 0.0000 0.0000 0.5000
B 0.0000 0.5000 0.0000
B 0.5000 0.0000 0.0000
Cl 0.5000 0.5000 0.5000